Model w:
Material: BeSbCl
Method: DFT, GGA-PBEsol
State: optimized geometry

Results
- Magnetic moment: 0.0 μB/cell
- Symmetry: P3m1 (156)
- Volume: 20.1 Å³/atom

a = 3.1934 Å, b = 3.1934 Å, c = 6.8337 Å
α = 90.00°, β = 90.00°, γ = 120.00°
With the nearest neighbours (Å) after each atom.
Positions (direct):
Cl  0.3333  0.6667  0.7853  3 Be 2.18
Be  0.0000  0.0000  0.9561  3 Cl 2.18
Sb  0.6667  0.3333  0.2586  3 Be 2.77

---

Model x:
Material: BeSbCl
Method: DFT, GGA-PBEsol
State: optimized geometry

Results
- Magnetic moment: 0.0 μB/cell
- Symmetry: Fmm2 (42)
- Volume: 22.3 Å³/atom

a = 3.0818 Å, b = 3.3712 Å, c = 7.4068 Å
α = 84.54°, β = 77.99°, γ = 62.80°
With the nearest neighbours (Å) after each atom.
Positions (direct):
Sb  0.6303  0.0000  0.7394  2 Be 2.65
Be  0.9816  0.0000  0.0369  2 Cl 2.05
Cl  0.3881  0.0000  0.2237  2 Be 2.05

---

Stability order, top to bottom: model w, model x

---

Model w:
Material: Sc2BeCl
Method: DFT, GGA-PBEsol
State: optimized geometry

Results
- Magnetic moment: 0.0 μB/cell
- Symmetry: Immm (71)
- Volume: 17.9 Å³/atom

a = 3.7175 Å, b = 4.8546 Å, c = 4.8546 Å
α = 67.24°, β = 67.49°, γ = 67.49°
With the nearest neighbours (Å) after each atom.
Positions (direct):
Sc  0.7375  0.2625  0.2625  2 Cl 2.52, 2 Be 2.65
Cl  0.0000  0.5000  0.5000  4 Sc 2.52
Be  0.5000  0.0000  0.0000  4 Sc 2.65
Sc  0.2625  0.7375  0.7375  2 Cl 2.52, 2 Be 2.65

---

Model x:
Material: Sc2BeCl
Method: DFT, GGA-PBEsol
State: optimized geometry

Results
- Magnetic moment: 0.0 μB/cell
- Symmetry: R-3m (166)
- Volume: 17.5 Å³/atom

a = 3.4813 Å, b = 3.4813 Å, c = 6.9520 Å
α = 75.50°, β = 75.50°, γ = 60.00°
With the nearest neighbours (Å) after each atom.
Positions (direct):
Cl  0.0000  0.0000  0.0000  6 Sc 2.69
Sc  0.7562  0.7562  0.7313  3 Be 2.53, 3 Cl 2.69
Sc  0.2438  0.2438  0.2687  3 Be 2.53, 3 Cl 2.69
Be  0.5000  0.5000  0.5000  6 Sc 2.53

---

Model y:
Material: Sc2BeCl
Method: DFT, GGA-PBEsol
State: optimized geometry

Results
- Magnetic moment: 0.0 μB/cell
- Symmetry: Imm2 (44)
- Volume: 18.0 Å³/atom

a = 3.1821 Å, b = 3.3822 Å, c = 7.0926 Å
α = 103.79°, β = 102.96°, γ = 90.00°
With the nearest neighbours (Å) after each atom.
Positions (direct):
Sc  0.9626  0.9626  0.9253  4 Be 2.59, 2 Cl 2.75
Be  0.5489  0.5489  0.0978  6 Sc 2.57-2.59
Cl  0.2956  0.7956  0.5912  6 Sc 2.70-2.75
Sc  0.6929  0.1929  0.3857  2 Be 2.57, 4 Cl 2.70

---

Model z:
Material: Sc2BeCl
Method: DFT, GGA-PBEsol
State: optimized geometry

Results
- Magnetic moment: 0.0 μB/cell
- Symmetry: Pmmm (47)
- Volume: 18.3 Å³/atom

a = 3.1327 Å, b = 3.2116 Å, c = 7.2938 Å
α = 90.03°, β = 90.00°, γ = 90.00°
With the nearest neighbours (Å) after each atom.
Positions (direct):
Sc  0.0000  0.4997  0.2911  2 Cl 2.64, 4 Be 2.71
Sc  0.0000  0.5003  0.7089  2 Cl 2.64, 4 Be 2.71
Be  0.5000  0.0000  0.5000  8 Sc 2.71
Cl  0.5000  0.5000  0.0000  4 Sc 2.64

---

Stability order, top to bottom: model x, model z, model y, model w